Entry from Alexandria via LeMat-Bulk: an optimized crystal structure of Ce7In3Sb (PBE-GGA).

Cell lengths 11.2836, 11.1779, 5.8169 Å; angles 90.00, 116.38, 90.00 degrees
Space group C2/m (No. 12)
Unique sites:
Ce1 0.0000 0.0000 0.0000 x2
Ce2 0.1800 0.2504 0.6453 x8
Ce3 0.1957 0.5000 0.1905 x4
In1 0.0000 0.2767 0.0000 x4
In2 0.0000 0.5000 0.5000 x2
Sb1 0.0000 0.0000 0.5000 x2

Properties
Crystal system   monoclinic
Electronic total energy   -5.1237 eV/atom
Total magnetization   6.8 μB/f.u.